Version i
# K2PW

A crystal of K2PW relaxed with PBEsol (meta-GGA SCAN, the Alexandria database).

density	5794	kg/m³
space-group type	No. 65

```
K2PW
1.0
1.871 -2.001 0.000
1.871 2.001 0.000
0.000 0.000 11.216
K P W
2 1 1
direct
0.000 0.000 0.224 K
0.000 0.000 0.776 K
0.500 0.500 0.000 P
0.500 0.500 0.500 W
```

Version ii
# K2PW

A crystal of K2PW relaxed with PBEsol (meta-GGA SCAN, the Alexandria database).

density	5821	kg/m³
space-group type	No. 47

```
K2PW
1.0
2.900 0.000 0.000
0.000 5.157 0.000
0.000 0.000 5.589
K P W
2 1 1
direct
0.000 0.248 0.000 K
0.000 0.752 0.000 K
0.500 0.000 0.500 P
0.500 0.500 0.500 W
```

Which one is most stable, and which one is least stable? version i is the most stable of them, while version ii is the least stable.

Version i
# SrLi

A crystal of SrLi relaxed with PBEsol (meta-GGA SCAN, the Alexandria database).

density	2147	kg/m³
space-group type	No. 74

```
SrLi
1.0
-2.051 2.941 6.063
2.051 -2.941 6.063
2.051 2.941 -6.063
Sr Li
2 2
direct
0.356 0.106 0.250 Sr
0.644 0.894 0.750 Sr
0.090 0.340 0.750 Li
0.910 0.660 0.250 Li
```

Version ii
# SrLi

A crystal of SrLi relaxed with PBEsol (meta-GGA SCAN, the Alexandria database).

density	2096	kg/m³
space-group type	No. 63

```
SrLi
1.0
2.270 -6.469 0.000
2.270 6.469 0.000
0.000 0.000 5.103
Sr Li
2 2
direct
0.148 0.852 0.750 Sr
0.852 0.148 0.250 Sr
0.434 0.566 0.750 Li
0.566 0.434 0.250 Li
```

Which one is most stable, and which one is least stable? version ii is the most stable of them, while version i is the least stable.

Version i
# ZnCdBi2

A crystal of ZnCdBi2 relaxed with PBEsol (meta-GGA SCAN, the Alexandria database).

density	10007	kg/m³
space-group type	No. 225

```
ZnCdBi2
1.0
0.000 3.670 3.670
3.670 0.000 3.670
3.670 3.670 0.000
Zn Cd Bi
1 1 2
direct
0.000 0.000 0.000 Zn
0.500 0.500 0.500 Cd
0.250 0.250 0.250 Bi
0.750 0.750 0.750 Bi
```

Version ii
# ZnCdBi2

A crystal of ZnCdBi2 relaxed with PBEsol (meta-GGA SCAN, the Alexandria database).

density	7658	kg/m³
space-group type	No. 122

```
ZnCdBi2
1.0
-3.354 3.354 5.743
3.354 -3.354 5.743
3.354 3.354 -5.743
Zn Cd Bi
2 2 4
direct
0.000 0.000 0.000 Zn
0.750 0.250 0.500 Zn
0.250 0.750 0.500 Cd
0.500 0.500 0.000 Cd
0.100 0.625 0.975 Bi
0.375 0.350 0.475 Bi
0.650 0.125 0.025 Bi
0.875 0.900 0.525 Bi
```

Which one is most stable, and which one is least stable? version ii is the most stable of them, while version i is the least stable.

Version i
# AlZnTe2

A crystal of AlZnTe2 relaxed with PBEsol (meta-GGA SCAN, the Alexandria database).

density	5086	kg/m³
space-group type	No. 65

```
AlZnTe2
1.0
1.937 -3.821 0.000
1.937 3.821 0.000
0.000 0.000 7.665
Al Zn Te
1 1 2
direct
0.000 0.000 0.000 Al
0.000 0.000 0.500 Zn
0.500 0.500 0.249 Te
0.500 0.500 0.751 Te
```

Version ii
# AlZnTe2

A crystal of AlZnTe2 relaxed with PBEsol (meta-GGA SCAN, the Alexandria database).

density	5926	kg/m³
space-group type	No. 119

```
AlZnTe2
1.0
-1.974 1.974 6.252
1.974 -1.974 6.252
1.974 1.974 -6.252
Al Zn Te
1 1 2
direct
0.000 0.000 0.000 Al
0.250 0.750 0.500 Zn
0.500 0.500 0.000 Te
0.750 0.250 0.500 Te
```

Which one is most stable, and which one is least stable? version i is the most stable of them, while version ii is the least stable.

Version i
# Tl2TeBr

A crystal of Tl2TeBr relaxed with PBEsol (meta-GGA SCAN, the Alexandria database).

density	7840	kg/m³
space-group type	No. 123

```
Tl2TeBr
1.0
4.485 0.000 0.000
0.000 4.485 0.000
0.000 0.000 6.488
Tl Te Br
2 1 1
direct
0.000 0.000 0.000 Tl
0.500 0.500 0.500 Tl
0.000 0.000 0.500 Te
0.500 0.500 0.000 Br
```

Version ii
# Tl2TeBr

A crystal of Tl2TeBr relaxed with PBEsol (meta-GGA SCAN, the Alexandria database).

density	8284	kg/m³
space-group type	No. 119

```
Tl2TeBr
1.0
-2.205 2.205 6.350
2.205 -2.205 6.350
2.205 2.205 -6.350
Tl Te Br
2 1 1
direct
0.000 0.000 0.000 Tl
0.750 0.250 0.500 Tl
0.250 0.750 0.500 Te
0.500 0.500 0.000 Br
```

Which one is most stable, and which one is least stable? version i is the most stable of them, while version ii is the least stable.

Version i
# NiRu2Rh

A crystal of NiRu2Rh relaxed with PBEsol (meta-GGA SCAN, the Alexandria database).

density	11881	kg/m³
space-group type	No. 47

```
NiRu2Rh
1.0
2.627 0.000 0.000
0.000 3.723 0.000
0.000 0.000 5.199
Ni Ru Rh
1 2 1
direct
0.000 0.000 0.000 Ni
0.500 0.500 0.237 Ru
0.500 0.500 0.763 Ru
0.000 0.000 0.500 Rh
```

Version ii
# NiRu2Rh

A crystal of NiRu2Rh relaxed with PBEsol (meta-GGA SCAN, the Alexandria database).

density	11895	kg/m³
space-group type	No. 99

```
NiRu2Rh
1.0
2.643 0.000 0.000
0.000 2.643 0.000
0.000 0.000 7.267
Ni Ru Rh
1 2 1
direct
0.000 0.000 0.000 Ni
0.000 0.000 0.504 Ru
0.500 0.500 0.760 Ru
0.500 0.500 0.246 Rh
```

Which one is most stable, and which one is least stable? version ii is the most stable of them, while version i is the least stable.